Computed, not measured: an optimized crystal structure of Li2V2OF6 at the GGA+U level of DFT.

```
Li2V2OF6
1.0
5.338 0.062 -0.028
0.574 6.809 0.020
-1.934 -2.680 7.901
O V F Li
2 4 12 4
direct
0.073 0.618 0.873
0.170 0.423 0.412
0.284 0.289 0.201
0.829 0.517 0.334
0.186 0.478 0.667
0.735 0.716 0.820
0.916 0.381 0.101
0.107 0.198 0.629
0.648 0.820 0.048
0.818 0.988 0.814
0.358 0.187 0.971
0.444 0.557 0.219
0.175 0.016 0.182
0.802 0.581 0.578
0.888 0.799 0.372
0.351 0.762 0.707
0.562 0.438 0.781
0.665 0.241 0.298
0.140 0.018 0.755
0.866 0.983 0.252
0.328 0.747 0.079
0.658 0.245 0.906
```

Calculated values
Energy (eV per atom): -5.93
Symmetry: P1, No. 1